VASP calculation (GGA-PBE) on Th2VGe3Ir4 after structural relaxation.

Results
formation enthalpy at 0 K: -76 kJ per mole of atoms

a = 4.227 Å, b = 4.227 Å, c = 10.373 Å
α = 90.00°, β = 90.00°, γ = 90.00°
Space group P-4m2 (No. 115)
One atom of each set of equivalent atoms:
Th 0.000 0.500 0.245
V 0.500 0.500 0.000
Ge 0.000 0.000 0.000
Ge 0.000 0.500 0.632
Ir 0.000 0.000 0.500
Ir 0.000 0.500 0.869
Ir 0.500 0.500 0.500

VASP calculation (GGA-PBE) on Zr2GaN after structural relaxation.

Results
E_form (uncorrected): -108 kJ/mol of atoms

a = 3.2700 Å, b = 3.2700 Å, c = 21.2925 Å
α = 90.00°, β = 90.00°, γ = 120.00°
Space group R3m (No. 160, hexagonal axes)
One atom of each set of equivalent atoms:
Zr 0.0000 0.0000 0.0000
Zr 0.0000 0.0000 0.2132
Ga 0.0000 0.0000 0.7740
N 0.0000 0.0000 0.6056

Which formula does entry 2 have?
Zr2GaN

Please write out number 2 again, unchanged.
VASP calculation (GGA-PBE) on Zr2GaN after structural relaxation.

Results
E_form (uncorrected): -108 kJ/mol of atoms

a = 3.2700 Å, b = 3.2700 Å, c = 21.2925 Å
α = 90.00°, β = 90.00°, γ = 120.00°
Space group R3m (No. 160, hexagonal axes)
One atom of each set of equivalent atoms:
Zr 0.0000 0.0000 0.0000
Zr 0.0000 0.0000 0.2132
Ga 0.0000 0.0000 0.7740
N 0.0000 0.0000 0.6056